Entry 1:
{
  "formula": "Ho3HgS2",
  "functional": "PBE",
  "state": "optimized geometry",
  "lattice_angstrom": [[2.318, -6.277, 0.000], [2.318, 6.277, 0.000], [0.000, 0.000, 9.861]],
  "species": ["Ho", "Ho", "Ho", "Ho", "Ho", "Ho", "Hg", "Hg", "S", "S", "S", "S"],
  "fractional_positions": [[0.104, 0.896, 0.750], [0.363, 0.637, 0.554], [0.363, 0.637, 0.946], [0.637, 0.363, 0.054], [0.637, 0.363, 0.446], [0.896, 0.104, 0.250], [0.230, 0.770, 0.250], [0.770, 0.230, 0.750], [0.000, 0.000, 0.000], [0.000, 0.000, 0.500], [0.487, 0.513, 0.250], [0.513, 0.487, 0.750]],
  "formation_energy_uncorrected_ev_per_atom": -1.24,
  "dos_ef_per_ev_fu": 3.15
}

=====

Entry 2:
{
  "formula": "HoHgS",
  "functional": "PBE",
  "state": "optimized geometry",
  "lattice_angstrom": [[4.156, 0.000, 0.000], [0.000, 5.310, 0.000], [0.000, 0.000, 6.897]],
  "species": ["Ho", "Ho", "Hg", "Hg", "S", "S"],
  "fractional_positions": [[0.250, 0.250, 0.169], [0.750, 0.750, 0.831], [0.250, 0.750, 0.507], [0.750, 0.250, 0.493], [0.250, 0.750, 0.084], [0.750, 0.250, 0.916]],
  "formation_energy_uncorrected_ev_per_atom": -1.17,
  "dos_ef_per_ev_fu": 0.66
}

=====

Entry 3:
{
  "formula": "Ho3HgS6",
  "functional": "PBE",
  "state": "optimized geometry",
  "lattice_angstrom": [[5.282, -6.638, 0.000], [5.282, 6.638, 0.000], [0.000, 0.000, 6.612]],
  "species": ["Ho", "Ho", "Ho", "Ho", "Ho", "Ho", "Hg", "Hg", "S", "S", "S", "S", "S", "S", "S", "S", "S", "S", "S", "S"],
  "fractional_positions": [[0.097, 0.903, 0.500], [0.218, 0.414, 0.589], [0.414, 0.218, 0.089], [0.586, 0.782, 0.589], [0.782, 0.586, 0.089], [0.903, 0.097, 0.000], [0.296, 0.704, 0.109], [0.704, 0.296, 0.609], [0.047, 0.590, 0.335], [0.131, 0.194, 0.292], [0.194, 0.131, 0.792], [0.274, 0.726, 0.738], [0.410, 0.953, 0.335], [0.472, 0.528, 0.303], [0.528, 0.472, 0.803], [0.590, 0.047, 0.835], [0.726, 0.274, 0.238], [0.806, 0.869, 0.292], [0.869, 0.806, 0.792], [0.953, 0.410, 0.835]],
  "formation_energy_uncorrected_ev_per_atom": -1.47,
  "dos_ef_per_ev_fu": 8.79
}

=====

Entry 4:
{
  "formula": "Ho6HgS4",
  "functional": "PBE",
  "state": "optimized geometry",
  "lattice_angstrom": [[1.958, -6.464, 0.000], [1.958, 6.464, 0.000], [0.000, 0.000, 19.966]],
  "species": ["Ho", "Ho", "Ho", "Ho", "Ho", "Ho", "Ho", "Ho", "Ho", "Ho", "Ho", "Ho", "Hg", "Hg", "S", "S", "S", "S", "S", "S", "S", "S"],
  "fractional_positions": [[0.000, 0.000, 0.000], [0.000, 0.000, 0.500], [0.161, 0.839, 0.750], [0.271, 0.729, 0.084], [0.271, 0.729, 0.416], [0.460, 0.540, 0.660], [0.460, 0.540, 0.840], [0.540, 0.460, 0.160], [0.540, 0.460, 0.340], [0.729, 0.271, 0.584], [0.729, 0.271, 0.916], [0.839, 0.161, 0.250], [0.160, 0.840, 0.250], [0.840, 0.160, 0.750], [0.094, 0.906, 0.622], [0.094, 0.906, 0.878], [0.363, 0.637, 0.539], [0.363, 0.637, 0.961], [0.637, 0.363, 0.039], [0.637, 0.363, 0.461], [0.906, 0.094, 0.122], [0.906, 0.094, 0.378]],
  "formation_energy_uncorrected_ev_per_atom": -1.56,
  "dos_ef_per_ev_fu": 4.85
}

=====

Entry 5:
{
  "formula": "Ho7HgS5",
  "functional": "PBE",
  "state": "optimized geometry",
  "lattice_angstrom": [[3.910, 0.000, 0.000], [0.000, 23.367, 0.000], [-1.944, 0.000, 6.437]],
  "species": ["Ho", "Ho", "Ho", "Ho", "Ho", "Ho", "Ho", "Ho", "Ho", "Ho", "Ho", "Ho", "Ho", "Ho", "Hg", "Hg", "S", "S", "S", "S", "S", "S", "S", "S", "S", "S"],
  "fractional_positions": [[0.022, 0.250, 0.045], [0.136, 0.536, 0.272], [0.136, 0.964, 0.272], [0.323, 0.173, 0.645], [0.323, 0.327, 0.645], [0.409, 0.608, 0.816], [0.409, 0.892, 0.816], [0.591, 0.108, 0.184], [0.591, 0.392, 0.184], [0.677, 0.673, 0.355], [0.677, 0.827, 0.355], [0.864, 0.036, 0.728], [0.864, 0.464, 0.728], [0.978, 0.750, 0.955], [0.296, 0.750, 0.594], [0.704, 0.250, 0.406], [0.044, 0.640, 0.088], [0.044, 0.860, 0.088], [0.227, 0.070, 0.454], [0.227, 0.430, 0.454], [0.500, 0.000, 0.000], [0.500, 0.500, 0.000], [0.773, 0.570, 0.546], [0.773, 0.930, 0.546], [0.956, 0.140, 0.912], [0.956, 0.360, 0.912]],
  "formation_energy_uncorrected_ev_per_atom": -1.62,
  "dos_ef_per_ev_fu": 5.42
}

=====

Entry 6:
{
  "formula": "HoHgS2",
  "functional": "PBE",
  "state": "optimized geometry",
  "lattice_angstrom": [[1.994, 1.151, 8.179], [-1.994, 1.151, 8.179], [0.000, -2.302, 8.179]],
  "species": ["Ho", "Hg", "S", "S"],
  "fractional_positions": [[0.000, 0.000, 0.000], [0.500, 0.500, 0.500], [0.393, 0.393, 0.393], [0.607, 0.607, 0.607]],
  "formation_energy_uncorrected_ev_per_atom": -1.16,
  "dos_ef_per_ev_fu": 2.72
}

=====

Entry 7:
{
  "formula": "Ho2HgS",
  "functional": "PBE",
  "state": "optimized geometry",
  "lattice_angstrom": [[1.920, 1.109, 7.552], [-1.920, 1.109, 7.552], [0.000, -2.217, 7.552]],
  "species": ["Ho", "Ho", "Hg", "S"],
  "fractional_positions": [[0.238, 0.238, 0.238], [0.762, 0.762, 0.762], [0.000, 0.000, 0.000], [0.500, 0.500, 0.500]],
  "formation_energy_uncorrected_ev_per_atom": -1.20,
  "dos_ef_per_ev_fu": 2.14
}

=====

Entry 8:
{
  "formula": "Ho2HgS",
  "functional": "PBE",
  "state": "optimized geometry",
  "lattice_angstrom": [[1.896, 1.094, 7.778], [-1.896, 1.094, 7.778], [0.000, -2.189, 7.778]],
  "species": ["Ho", "Ho", "Hg", "S"],
  "fractional_positions": [[0.000, 0.000, 0.000], [0.194, 0.194, 0.194], [0.764, 0.764, 0.764], [0.595, 0.595, 0.595]],
  "formation_energy_uncorrected_ev_per_atom": -1.15,
  "dos_ef_per_ev_fu": 3.26
}

=====

Entry 9:
{
  "formula": "Ho4HgSeS2",
  "functional": "PBE",
  "state": "optimized geometry",
  "lattice_angstrom": [[7.003, 0.000, 0.000], [0.000, 3.918, 0.000], [-2.218, 0.000, 6.754]],
  "species": ["Ho", "Ho", "Ho", "Ho", "Hg", "Se", "S", "S"],
  "fractional_positions": [[0.238, 0.000, 0.230], [0.255, 0.500, 0.769], [0.745, 0.500, 0.231], [0.762, 0.000, 0.770], [0.500, 0.500, 0.500], [0.000, 0.000, 0.500], [0.000, 0.500, 0.000], [0.500, 0.000, 0.000]],
  "formation_energy_uncorrected_ev_per_atom": -1.49,
  "dos_ef_per_ev_fu": 3.40
}

=====

Entry 10:
{
  "formula": "Ho4Hg2SeS",
  "functional": "PBE",
  "state": "optimized geometry",
  "lattice_angstrom": [[6.765, 0.000, 0.000], [0.000, 3.895, 0.000], [-2.241, 0.000, 7.572]],
  "species": ["Ho", "Ho", "Ho", "Ho", "Hg", "Hg", "Se", "S"],
  "fractional_positions": [[0.232, 0.000, 0.219], [0.252, 0.500, 0.776], [0.748, 0.500, 0.224], [0.768, 0.000, 0.781], [0.000, 0.000, 0.500], [0.500, 0.500, 0.500], [0.500, 0.000, 0.000], [0.000, 0.500, 0.000]],
  "formation_energy_uncorrected_ev_per_atom": -1.14,
  "dos_ef_per_ev_fu": 3.52
}

=====

Entry 11:
{
  "formula": "Ho8Hg4Se3S",
  "functional": "PBE",
  "state": "optimized geometry",
  "lattice_angstrom": [[6.807, -3.930, 0.000], [6.807, 3.930, 0.000], [-4.545, 0.000, 7.578]],
  "species": ["Ho", "Ho", "Ho", "Ho", "Ho", "Ho", "Ho", "Ho", "Hg", "Hg", "Hg", "Hg", "Se", "Se", "Se", "S"],
  "fractional_positions": [[0.238, 0.238, 0.724], [0.238, 0.749, 0.724], [0.251, 0.762, 0.276], [0.257, 0.257, 0.270], [0.743, 0.743, 0.730], [0.749, 0.238, 0.724], [0.762, 0.251, 0.276], [0.762, 0.762, 0.276], [0.000, 0.000, 0.000], [0.000, 0.500, 0.000], [0.500, 0.000, 0.000], [0.500, 0.500, 0.000], [0.000, 0.500, 0.500], [0.500, 0.000, 0.500], [0.500, 0.500, 0.500], [0.000, 0.000, 0.500]],
  "formation_energy_uncorrected_ev_per_atom": -1.11,
  "dos_ef_per_ev_fu": 9.16
}

=====

Entry 12:
{
  "formula": "Ho4HgTe2S",
  "functional": "PBE",
  "state": "optimized geometry",
  "lattice_angstrom": [[7.388, 0.000, 0.000], [0.000, 4.087, 0.000], [-2.284, 0.000, 7.089]],
  "species": ["Ho", "Ho", "Ho", "Ho", "Hg", "Te", "Te", "S"],
  "fractional_positions": [[0.229, 0.000, 0.216], [0.251, 0.500, 0.767], [0.749, 0.500, 0.233], [0.771, 0.000, 0.784], [0.500, 0.000, 0.000], [0.000, 0.000, 0.500], [0.500, 0.500, 0.500], [0.000, 0.500, 0.000]],
  "formation_energy_uncorrected_ev_per_atom": -1.21,
  "dos_ef_per_ev_fu": 3.41
}

=====

Entry 13:
{
  "formula": "Ho2HgSb",
  "functional": "PBE",
  "state": "optimized geometry",
  "lattice_angstrom": [[2.102, 1.213, 7.584], [-2.102, 1.213, 7.584], [0.000, -2.427, 7.584]],
  "species": ["Ho", "Ho", "Hg", "Sb"],
  "fractional_positions": [[0.247, 0.247, 0.247], [0.753, 0.753, 0.753], [0.000, 0.000, 0.000], [0.500, 0.500, 0.500]],
  "formation_energy_uncorrected_ev_per_atom": -0.66,
  "dos_ef_per_ev_fu": 3.32
}

=====

Entry 14:
{
  "formula": "HoHgSb2",
  "functional": "PBE",
  "state": "optimized geometry",
  "lattice_angstrom": [[4.953, 0.000, 0.000], [0.000, 4.953, 0.000], [0.000, 0.000, 4.180]],
  "species": ["Ho", "Hg", "Sb", "Sb"],
  "fractional_positions": [[0.000, 0.000, 0.000], [0.500, 0.500, 0.000], [0.000, 0.500, 0.500], [0.500, 0.000, 0.500]],
  "formation_energy_uncorrected_ev_per_atom": -0.42,
  "dos_ef_per_ev_fu": 1.47
}

=====

Entry 15:
{
  "formula": "Ho8HgSb2",
  "functional": "PBE",
  "state": "optimized geometry",
  "lattice_angstrom": [[9.501, -2.468, 0.000], [9.501, 2.468, 0.000], [-1.389, 0.000, 6.792]],
  "species": ["Ho", "Ho", "Ho", "Ho", "Ho", "Ho", "Ho", "Ho", "Hg", "Sb", "Sb"],
  "fractional_positions": [[0.016, 0.016, 0.262], [0.215, 0.215, 0.841], [0.341, 0.341, 0.482], [0.406, 0.406, 0.015], [0.594, 0.594, 0.985], [0.659, 0.659, 0.518], [0.785, 0.785, 0.159], [0.984, 0.984, 0.738], [0.500, 0.500, 0.500], [0.180, 0.180, 0.267], [0.820, 0.820, 0.733]],
  "formation_energy_uncorrected_ev_per_atom": -0.40,
  "dos_ef_per_ev_fu": 11.56
}

=====

Entry 16:
{
  "formula": "HoHgSb2",
  "functional": "PBE",
  "state": "optimized geometry",
  "lattice_angstrom": [[2.216, 1.279, 8.825], [-2.216, 1.279, 8.825], [0.000, -2.559, 8.825]],
  "species": ["Ho", "Hg", "Sb", "Sb"],
  "fractional_positions": [[0.000, 0.000, 0.000], [0.500, 0.500, 0.500], [0.398, 0.398, 0.398], [0.602, 0.602, 0.602]],
  "formation_energy_uncorrected_ev_per_atom": -0.23,
  "dos_ef_per_ev_fu": 1.34
}

=====

Entry 17:
{
  "formula": "Ho2HgSb",
  "functional": "PBE",
  "state": "optimized geometry",
  "lattice_angstrom": [[2.090, 1.207, 7.748], [-2.090, 1.207, 7.748], [0.000, -2.413, 7.748]],
  "species": ["Ho", "Ho", "Hg", "Sb"],
  "fractional_positions": [[0.000, 0.000, 0.000], [0.175, 0.175, 0.175], [0.420, 0.420, 0.420], [0.588, 0.588, 0.588]],
  "formation_energy_uncorrected_ev_per_atom": -0.61,
  "dos_ef_per_ev_fu": 2.99
}

=====

Entry 18:
{
  "formula": "Ho2HgSb",
  "functional": "PBE",
  "state": "optimized geometry",
  "lattice_angstrom": [[3.898, 0.000, 0.000], [0.000, 3.898, 0.000], [0.000, 0.000, 6.858]],
  "species": ["Ho", "Ho", "Hg", "Sb"],
  "fractional_positions": [[0.000, 0.000, 0.245], [0.000, 0.000, 0.755], [0.500, 0.500, 0.500], [0.500, 0.500, 0.000]],
  "formation_energy_uncorrected_ev_per_atom": -0.66,
  "dos_ef_per_ev_fu": 2.61
}

=====

Entry 19:
{
  "formula": "HoHg2Sb",
  "functional": "PBE",
  "state": "optimized geometry",
  "lattice_angstrom": [[4.435, 0.000, 0.000], [0.000, 4.435, 0.000], [0.000, 0.000, 5.084]],
  "species": ["Ho", "Hg", "Hg", "Sb"],
  "fractional_positions": [[0.000, 0.000, 0.000], [0.000, 0.500, 0.500], [0.500, 0.000, 0.500], [0.500, 0.500, 0.000]],
  "formation_energy_uncorrected_ev_per_atom": -0.45,
  "dos_ef_per_ev_fu": 0.93
}

=====

Entry 20:
{
  "formula": "Ho5HgSb2",
  "functional": "PBE",
  "state": "optimized geometry",
  "lattice_angstrom": [[2.854, -5.797, 0.000], [2.854, 5.797, 0.000], [0.000, 0.000, 14.284]],
  "species": ["Ho", "Ho", "Ho", "Ho", "Ho", "Ho", "Ho", "Ho", "Ho", "Ho", "Hg", "Hg", "Sb", "Sb", "Sb", "Sb"],
  "fractional_positions": [[0.070, 0.930, 0.602], [0.070, 0.930, 0.898], [0.379, 0.621, 0.551], [0.379, 0.621, 0.949], [0.402, 0.598, 0.250], [0.598, 0.402, 0.750], [0.621, 0.379, 0.051], [0.621, 0.379, 0.449], [0.930, 0.070, 0.102], [0.930, 0.070, 0.398], [0.295, 0.705, 0.750], [0.705, 0.295, 0.250], [0.200, 0.800, 0.108], [0.200, 0.800, 0.392], [0.800, 0.200, 0.608], [0.800, 0.200, 0.892]],
  "formation_energy_uncorrected_ev_per_atom": -0.38,
  "dos_ef_per_ev_fu": 7.37
}

=====

Entry 21:
{
  "formula": "HoHg2Sb",
  "functional": "PBE",
  "state": "optimized geometry",
  "lattice_angstrom": [[1.705, 0.984, 11.452], [-1.705, 0.984, 11.452], [0.000, -1.969, 11.452]],
  "species": ["Ho", "Hg", "Hg", "Sb"],
  "fractional_positions": [[0.000, 0.000, 0.000], [0.088, 0.088, 0.088], [0.912, 0.912, 0.912], [0.500, 0.500, 0.500]],
  "formation_energy_uncorrected_ev_per_atom": 0.14,
  "dos_ef_per_ev_fu": 2.27
}

=====

Entry 22:
{
  "formula": "Ho2HgSb",
  "functional": "PBE",
  "state": "optimized geometry",
  "lattice_angstrom": [[2.068, -11.942, 0.000], [2.068, 11.942, 0.000], [0.000, 0.000, 4.548]],
  "species": ["Ho", "Ho", "Ho", "Ho", "Hg", "Hg", "Sb", "Sb"],
  "fractional_positions": [[0.064, 0.936, 0.750], [0.319, 0.681, 0.750], [0.681, 0.319, 0.250], [0.936, 0.064, 0.250], [0.456, 0.544, 0.750], [0.544, 0.456, 0.250], [0.190, 0.810, 0.750], [0.810, 0.190, 0.250]],
  "formation_energy_uncorrected_ev_per_atom": -0.74,
  "dos_ef_per_ev_fu": 1.66
}

=====

Entry 23:
{
  "formula": "HoScHg",
  "functional": "PBE",
  "state": "optimized geometry",
  "lattice_angstrom": [[2.463, 1.422, 8.106], [-2.463, 1.422, 8.106], [0.000, -2.844, 8.106]],
  "species": ["Ho", "Ho", "Sc", "Sc", "Hg", "Hg"],
  "fractional_positions": [[0.122, 0.122, 0.122], [0.878, 0.878, 0.878], [0.371, 0.371, 0.371], [0.629, 0.629, 0.629], [0.253, 0.253, 0.253], [0.747, 0.747, 0.747]],
  "dos_ef_per_ev_fu": 2.86,
  "formation_energy_ev_per_atom": -0.09
}

=====

Number 1: volume 23.908 Å³/atom. Number 2: volume 25.368 Å³/atom. Number 3: volume 23.182 Å³/atom. Number 4: volume 22.971 Å³/atom. Number 5: volume 22.621 Å³/atom. Number 6: volume 28.157 Å³/atom. Number 7: volume 24.109 Å³/atom. Number 8: volume 24.203 Å³/atom. Number 9: volume 23.165 Å³/atom. Number 10: volume 24.941 Å³/atom. Number 11: volume 25.346 Å³/atom. Number 12: volume 26.756 Å³/atom. Number 13: volume 29.006 Å³/atom. Number 14: volume 25.633 Å³/atom. Number 15: volume 28.964 Å³/atom. Number 16: volume 37.529 Å³/atom. Number 17: volume 29.312 Å³/atom. Number 18: volume 26.049 Å³/atom. Number 19: volume 24.993 Å³/atom. Number 20: volume 29.542 Å³/atom. Number 21: volume 28.836 Å³/atom. Number 22: volume 28.083 Å³/atom. Number 23: volume 28.399 Å³/atom.